--- 1 ---
Density functional theory data (GGA-PBE) for a relaxed Zr2TiNi crystal.

Output
Its symmetry is P4mm. Its volume is 18.29 Å³ per atom. The density of states at the Fermi level is 4.34 states/eV/cell.

a b c (Å): 4.4206 3.1242 7.4924
angles (deg): 90.00 90.00 44.99
With the nearest neighbours (Å) after each atom.
Sites, in units of the cell vectors:
Zr 0.8777 0.9993 0.5504  4 Ti 3.00, 8 Zr 3.12-3.20, 1 Ni 3.35
Zr 0.3776 0.9994 0.2416  4 Ni 2.87, 8 Zr 3.12-3.20, 1 Ti 3.15
Ti 0.3777 0.9992 0.8210  4 Ni 2.58
Ni 0.8777 0.9992 0.9979  4 Ti 2.58, 4 Zr 2.87

=====

--- 2 ---
Density functional theory data (GGA-PBE) for a relaxed Zr2TiNi crystal.

Output
Its symmetry is P4/mmm. Its volume is 18.34 Å³ per atom. The density of states at the Fermi level is 4.58 states/eV/cell.

a b c (Å): 3.1885 3.1885 7.2162
angles (deg): 90.00 90.00 90.00
With the nearest neighbours (Å) after each atom.
Sites, in units of the cell vectors:
Ni 0.5000 0.5000 0.0000  8 Zr 2.79
Zr 0.0000 0.0000 0.7715  4 Ni 2.79, 4 Ti 2.99
Zr 0.0000 0.0000 0.2285  4 Ni 2.79, 4 Ti 2.99
Ti 0.5000 0.5000 0.5000  8 Zr 2.99, 4 Ti 3.19

=====

--- 3 ---
Density functional theory data (GGA-PBE) for a relaxed Zr2TiNi crystal.

Output
Its symmetry is I-42d. Its volume is 19.40 Å³ per atom. The density of states at the Fermi level is 12.14 states/eV/cell.

a b c (Å): 7.4424 7.4424 5.9618
angles (deg): 51.38 51.38 90.00
With the nearest neighbours (Å) after each atom.
Sites, in units of the cell vectors:
Ni 0.0000 0.0000 0.0000  4 Zr 2.52, 2 Ti 2.80
Ni 0.7500 0.2500 0.5000  4 Zr 2.52, 2 Ti 2.80
Zr 0.6680 0.1250 0.2500  2 Ni 2.52
Zr 0.0820 0.6250 0.2500  2 Ni 2.52
Zr 0.3750 0.3320 0.7500  2 Ni 2.52
Zr 0.8750 0.9180 0.7500  2 Ni 2.52
Ti 0.5000 0.5000 0.0000  2 Ni 2.80, 4 Zr 2.95
Ti 0.2500 0.7500 0.5000  2 Ni 2.80, 4 Zr 2.95

=====

--- 4 ---
Density functional theory data (GGA-PBE) for a relaxed Zr2TiNi crystal.

Output
Its symmetry is Fm-3m. Its volume is 18.19 Å³ per atom. The density of states at the Fermi level is 4.54 states/eV/cell.

a b c (Å): 4.6856 4.6856 4.6856
angles (deg): 60.00 60.00 60.00
With the nearest neighbours (Å) after each atom.
Sites, in units of the cell vectors:
Ni 0.5000 0.5000 0.5000  8 Zr 2.87
Zr 0.2500 0.2500 0.2500  4 Ni 2.87, 4 Ti 2.87
Zr 0.7500 0.7500 0.7500  4 Ni 2.87, 4 Ti 2.87
Ti 0.0000 0.0000 0.0000  8 Zr 2.87

=====

Verdict on stability: 1 comes out on top.

=====

--- 1 ---
Density functional theory data (GGA-PBE) for a relaxed Tl4Ni crystal.

Output
Its symmetry is Pm-3m. Its volume is 27.79 Å³ per atom. The density of states at the Fermi level is 3.08 states/eV/cell.

a b c (Å): 5.1794 5.1794 5.1794
angles (deg): 90.00 90.00 90.00
With the nearest neighbours (Å) after each atom.
Sites, in units of the cell vectors:
Ni 0.5000 0.5000 0.5000  6 Tl 2.59
Tl 0.0000 0.0000 0.0000  12 Tl 3.66
Tl 0.5000 0.0000 0.5000  2 Ni 2.59
Tl 0.0000 0.5000 0.5000  2 Ni 2.59
Tl 0.5000 0.5000 0.0000  2 Ni 2.59

=====

--- 2 ---
Density functional theory data (GGA-PBE) for a relaxed Tl4Ni crystal.

Output
Its symmetry is Im-3m. Its volume is 27.34 Å³ per atom. The density of states at the Fermi level is 2.61 states/eV/cell.

a b c (Å): 5.6211 5.6211 5.6211
angles (deg): 109.47 109.47 109.47
With the nearest neighbours (Å) after each atom.
Sites, in units of the cell vectors:
Tl 0.5000 0.0000 0.0000  2 Ni 2.81
Tl 0.5000 0.5000 0.5000  2 Ni 2.81
Tl 0.0000 0.5000 0.0000  2 Ni 2.81
Tl 0.0000 0.0000 0.5000  2 Ni 2.81
Ni 0.0000 0.0000 0.0000  8 Tl 2.81

=====

Verdict on stability: 1 comes out on top.

=====

--- 1 ---
Density functional theory data (GGA-PBE) for a relaxed Tl5Ni4 crystal.

Output
Its symmetry is I4/mmm. Its volume is 20.68 Å³ per atom. The density of states at the Fermi level is 8.55 states/eV/cell.

a b c (Å): 6.8987 6.8987 6.8987
angles (deg): 95.68 95.68 143.33
With the nearest neighbours (Å) after each atom.
Sites, in units of the cell vectors:
Tl 0.0000 0.0000 0.0000  8 Tl 3.16, 4 Ni 3.49
Tl 0.6754 0.3246 0.0000  6 Tl 2.92-3.25, 2 Ni 3.04
Tl 0.3246 0.6754 0.0000  6 Tl 2.92-3.25, 2 Ni 3.04
Tl 0.3246 0.3246 0.6493  6 Tl 2.92-3.25, 2 Ni 3.04
Tl 0.6754 0.6754 0.3507  6 Tl 2.92-3.25, 2 Ni 3.04
Ni 0.6236 0.0000 0.6236  1 Ni 2.29
Ni 0.3764 0.0000 0.3764  1 Ni 2.29
Ni 0.0000 0.3764 0.3764  1 Ni 2.29
Ni 0.0000 0.6236 0.6236  1 Ni 2.29

=====

--- 2 ---
Density functional theory data (GGA-PBE) for a relaxed Tl5Ni4 crystal.

Output
Its symmetry is P6_3/mcm. Its volume is 18.90 Å³ per atom. The density of states at the Fermi level is 12.84 states/eV/cell.

a b c (Å): 8.0084 8.0084 6.1235
angles (deg): 90.00 90.00 120.00
With the nearest neighbours (Å) after each atom.
Sites, in units of the cell vectors:
Ni 0.0000 0.0000 0.0000  6 Tl 2.66
Ni 0.0000 0.0000 0.5000  6 Tl 2.66
Ni 0.0000 0.3956 0.2500  7 Tl 2.66-2.90
Ni 0.6044 0.6044 0.2500  7 Tl 2.66-2.90
Ni 0.3956 0.0000 0.2500  7 Tl 2.66-2.90
Ni 0.0000 0.6044 0.7500  7 Tl 2.66-2.90
Ni 0.3956 0.3956 0.7500  7 Tl 2.66-2.90
Ni 0.6044 0.0000 0.7500  7 Tl 2.66-2.90
Tl 0.0000 0.7284 0.2500  5 Ni 2.66-2.81
Tl 0.2716 0.2716 0.2500  5 Ni 2.66-2.81
Tl 0.7284 0.0000 0.2500  5 Ni 2.66-2.81
Tl 0.0000 0.2716 0.7500  5 Ni 2.66-2.81
Tl 0.7284 0.7284 0.7500  5 Ni 2.66-2.81
Tl 0.2716 0.0000 0.7500  5 Ni 2.66-2.81
Tl 0.6667 0.3333 0.0000  6 Ni 2.90, 2 Tl 3.06
Tl 0.3333 0.6667 0.5000  6 Ni 2.90, 2 Tl 3.06
Tl 0.3333 0.6667 0.0000  6 Ni 2.90, 2 Tl 3.06
Tl 0.6667 0.3333 0.5000  6 Ni 2.90, 2 Tl 3.06

=====

Verdict on stability: 2 comes out on top.

=====

--- 1 ---
Density functional theory data (GGA-PBE) for a relaxed TlNi4 crystal.

Output
Its symmetry is Pm-3m. Its volume is 20.84 Å³ per atom. The density of states at the Fermi level is 16.22 states/eV/cell.

a b c (Å): 4.7054 4.7054 4.7054
angles (deg): 90.00 90.00 90.00
With the nearest neighbours (Å) after each atom.
Sites, in units of the cell vectors:
Ni 0.0000 0.0000 0.0000  12 Ni 3.33
Ni 0.5000 0.0000 0.5000  2 Tl 2.35
Ni 0.0000 0.5000 0.5000  2 Tl 2.35
Ni 0.5000 0.5000 0.0000  2 Tl 2.35
Tl 0.5000 0.5000 0.5000  6 Ni 2.35

=====

--- 2 ---
Density functional theory data (GGA-PBE) for a relaxed TlNi4 crystal.

Output
Its symmetry is I4/m. Its volume is 13.04 Å³ per atom. The density of states at the Fermi level is 8.66 states/eV/cell.

a b c (Å): 4.5781 4.5781 4.5781
angles (deg): 99.55 99.55 131.93
With the nearest neighbours (Å) after each atom.
Sites, in units of the cell vectors:
Tl 0.0000 0.0000 0.0000  12 Ni 2.66-2.68
Ni 0.8132 0.4099 0.2231  7 Ni 2.45-2.73, 3 Tl 2.66-2.68
Ni 0.4099 0.1868 0.5967  7 Ni 2.45-2.73, 3 Tl 2.66-2.68
Ni 0.1868 0.5901 0.7769  7 Ni 2.45-2.73, 3 Tl 2.66-2.68
Ni 0.5901 0.8132 0.4033  7 Ni 2.45-2.73, 3 Tl 2.66-2.68

=====

Verdict on stability: 2 comes out on top.

=====

--- 1 ---
Density functional theory data (GGA-PBE) for a relaxed Tm3TlNi crystal.

Output
Its symmetry is P6_3/mmc. Its volume is 25.27 Å³ per atom. The density of states at the Fermi level is 5.97 states/eV/cell.

a b c (Å): 5.1503 7.5268 7.5268
angles (deg): 119.99 90.00 90.00
With the nearest neighbours (Å) after each atom.
Sites, in units of the cell vectors:
Tm 0.2500 0.8200 0.1800  2 Ni 2.68
Tm 0.7500 0.1800 0.8200  2 Ni 2.68
Tm 0.2500 0.8200 0.6402  2 Ni 2.68
Tm 0.7500 0.1800 0.3598  2 Ni 2.68
Tm 0.2500 0.3598 0.1800  2 Ni 2.68
Tm 0.7500 0.6402 0.8200  2 Ni 2.68
Tl 0.2500 0.3335 0.6665  6 Tm 3.26
Tl 0.7500 0.6665 0.3335  6 Tm 3.26
Ni 0.0000 0.0000 0.0000  2 Ni 2.58, 6 Tm 2.68
Ni 0.5000 0.0000 0.0000  2 Ni 2.58, 6 Tm 2.68

=====

--- 2 ---
Density functional theory data (GGA-PBE) for a relaxed Tm3TlNi crystal.

Output
Its symmetry is Pm-3m. Its volume is 27.03 Å³ per atom. The density of states at the Fermi level is 6.70 states/eV/cell.

a b c (Å): 5.1321 5.1321 5.1321
angles (deg): 90.00 90.00 90.00
With the nearest neighbours (Å) after each atom.
Sites, in units of the cell vectors:
Ni 0.0000 0.0000 0.0000  6 Tm 2.57
Tl 0.5000 0.5000 0.5000  12 Tm 3.63
Tm 0.0000 0.5000 0.0000  2 Ni 2.57
Tm 0.0000 0.0000 0.5000  2 Ni 2.57
Tm 0.5000 0.0000 0.0000  2 Ni 2.57

=====

Verdict on stability: 1 comes out on top.

=====

--- 1 ---
Density functional theory data (GGA-PBE) for a relaxed TlNi2W crystal.

Output
Its symmetry is C2/m. Its volume is 15.69 Å³ per atom. The density of states at the Fermi level is 2.92 states/eV/cell.

a b c (Å): 4.4516 4.4516 5.2421
angles (deg): 82.49 82.49 37.58
With the nearest neighbours (Å) after each atom.
Sites, in units of the cell vectors:
Ni 0.0065 0.0065 0.9464  3 W 2.52-2.60, 2 Ni 2.52, 1 Tl 2.77
Ni 0.4935 0.4935 0.5536  3 W 2.52-2.60, 2 Ni 2.52, 1 Tl 2.77
Tl 0.2500 0.2500 0.2500  6 Ni 2.77-2.88, 2 Tl 2.87, 4 W 2.99
W 0.7500 0.7500 0.7500  6 Ni 2.52-2.60

=====

--- 2 ---
Density functional theory data (GGA-PBE) for a relaxed TlNi2W crystal.

Output
Its symmetry is I-4m2. Its volume is 15.01 Å³ per atom. The density of states at the Fermi level is 4.52 states/eV/cell.

a b c (Å): 4.8252 4.8252 4.8252
angles (deg): 132.43 132.43 69.55
With the nearest neighbours (Å) after each atom.
Sites, in units of the cell vectors:
Ni 0.0000 0.0000 0.0000  4 Tl 2.75, 4 Ni 2.78, 4 W 2.78
Ni 0.2500 0.7500 0.5000  4 W 2.75, 4 Tl 2.78, 4 Ni 2.78
Tl 0.5000 0.5000 0.0000  8 Ni 2.75-2.78, 4 W 2.78
W 0.7500 0.2500 0.5000  8 Ni 2.75-2.78, 4 Tl 2.78

=====

--- 3 ---
Density functional theory data (GGA-PBE) for a relaxed TlNi2W crystal.

Output
Its symmetry is Imm2. Its volume is 15.02 Å³ per atom. The density of states at the Fermi level is 3.18 states/eV/cell.

a b c (Å): 5.3953 5.3953 5.3953
angles (deg): 149.75 130.08 59.49
With the nearest neighbours (Å) after each atom.
Sites, in units of the cell vectors:
Ni 0.9935 0.9935 0.0000  4 Ni 2.55-2.82, 2 W 2.62, 4 Tl 2.68
Ni 0.7667 0.2667 0.5000  4 Ni 2.55-2.82, 4 W 2.70, 2 Tl 2.79
Tl 0.5097 0.5097 0.0000  6 Ni 2.68-2.79, 2 Tl 2.82, 2 W 2.98
W 0.2300 0.7300 0.5000  6 Ni 2.62-2.70, 2 W 2.82

=====

--- 4 ---
Density functional theory data (GGA-PBE) for a relaxed TlNi2W crystal.

Output
Its symmetry is I-42d. Its volume is 16.65 Å³ per atom. The density of states at the Fermi level is 12.41 states/eV/cell.

a b c (Å): 6.9233 6.9233 5.6297
angles (deg): 52.06 52.06 90.00
With the nearest neighbours (Å) after each atom.
Sites, in units of the cell vectors:
Ni 0.5972 0.1250 0.2500  2 W 2.42, 2 Tl 2.68
Ni 0.1528 0.6250 0.2500  2 W 2.42, 2 Tl 2.68
Ni 0.3750 0.4028 0.7500  2 W 2.42, 2 Tl 2.68
Ni 0.8750 0.8472 0.7500  2 W 2.42, 2 Tl 2.68
Tl 0.0000 0.0000 0.0000  4 Ni 2.68, 2 W 2.78
Tl 0.7500 0.2500 0.5000  4 Ni 2.68, 2 W 2.78
W 0.5000 0.5000 0.0000  4 Ni 2.42
W 0.2500 0.7500 0.5000  4 Ni 2.42

=====

Verdict on stability: 1 comes out on top.

=====

--- 1 ---
Density functional theory data (GGA-PBE) for a relaxed TlNi2W crystal.

Output
Its symmetry is Cm. Its volume is 15.20 Å³ per atom. The density of states at the Fermi level is 2.97 states/eV/cell.

a b c (Å): 4.6688 4.6688 4.9087
angles (deg): 79.11 79.11 35.42
With the nearest neighbours (Å) after each atom.
Sites, in units of the cell vectors:
Ni 0.9957 0.9957 0.9767  3 W 2.57-2.58, 4 Ni 2.65-2.84, 4 Tl 2.80-2.87
Ni 0.2604 0.2604 0.2442  2 W 2.58, 3 Tl 2.62-2.71, 4 Ni 2.65-2.84
Tl 0.5054 0.5054 0.4650  7 Ni 2.62-2.87, 2 Tl 2.84
W 0.7385 0.7385 0.8142  5 Ni 2.57-2.58, 2 W 2.84

=====

--- 2 ---
Density functional theory data (GGA-PBE) for a relaxed TlNi2W crystal.

Output
Its symmetry is Cmmm. Its volume is 14.93 Å³ per atom. The density of states at the Fermi level is 2.92 states/eV/cell.

a b c (Å): 4.6207 4.6207 2.7975
angles (deg): 90.01 90.01 90.08
With the nearest neighbours (Å) after each atom.
Sites, in units of the cell vectors:
Ni 0.0000 0.0000 0.0000  4 Tl 2.70, 4 W 2.70, 2 Ni 2.80
Ni 0.5000 0.5000 0.0000  4 W 2.70, 4 Tl 2.70, 2 Ni 2.80
Tl 0.5000 0.0000 0.5000  8 Ni 2.70, 2 Tl 2.80
W 0.0000 0.5000 0.5000  8 Ni 2.70, 2 W 2.80

=====

Verdict on stability: 1 comes out on top.

=====

--- 1 ---
Density functional theory data (GGA-PBE) for a relaxed TlNi2W crystal.

Output
Its symmetry is R-3m. Its volume is 15.69 Å³ per atom. The density of states at the Fermi level is 3.99 states/eV/cell.

a b c (Å): 8.7364 8.7364 8.7364
angles (deg): 19.15 19.15 19.15
With the nearest neighbours (Å) after each atom.
Sites, in units of the cell vectors:
Ni 0.0059 0.0059 0.0059  3 W 2.60, 3 Tl 2.84, 6 Ni 2.91
Ni 0.4941 0.4941 0.4941  3 W 2.60, 3 Tl 2.84, 6 Ni 2.91
Tl 0.2500 0.2500 0.2500  6 Ni 2.84, 6 Tl 2.91
W 0.7500 0.7500 0.7500  6 Ni 2.60, 6 W 2.91

=====

--- 2 ---
Density functional theory data (GGA-PBE) for a relaxed TlNi2W crystal.

Output
Its symmetry is Pm. Its volume is 14.94 Å³ per atom. The density of states at the Fermi level is 2.81 states/eV/cell.

a b c (Å): 4.1963 2.7866 5.3010
angles (deg): 74.67 90.00 90.00
With the nearest neighbours (Å) after each atom.
Sites, in units of the cell vectors:
Ni 0.0000 0.1980 0.9753  4 Ni 2.54-2.79, 4 W 2.64-2.66, 3 Tl 2.66-2.83
Ni 0.5000 0.0600 0.2550  4 Ni 2.54-2.79, 2 W 2.65, 4 Tl 2.72
Tl 0.0000 0.4592 0.4555  7 Ni 2.66-2.83, 2 Tl 2.79
W 0.5000 0.7828 0.8142  7 Ni 2.64-2.86, 2 W 2.79

=====

--- 3 ---
Density functional theory data (GGA-PBE) for a relaxed TlNi2W crystal.

Output
Its symmetry is P2/m. Its volume is 15.28 Å³ per atom. The density of states at the Fermi level is 3.33 states/eV/cell.

a b c (Å): 3.4934 2.8893 6.7239
angles (deg): 64.26 90.00 90.00
With the nearest neighbours (Å) after each atom.
Sites, in units of the cell vectors:
Ni 0.0000 0.0392 0.9588  1 Ni 2.53, 4 W 2.60
Ni 0.0000 0.4608 0.5412  1 Ni 2.53, 4 W 2.60
Tl 0.5000 0.2500 0.2500  8 Ni 2.86-2.88, 2 Tl 2.89, 2 W 3.03
W 0.5000 0.7500 0.7500  8 Ni 2.60, 2 W 2.89

=====

--- 4 ---
Density functional theory data (GGA-PBE) for a relaxed TlNi2W crystal.

Output
Its symmetry is Fm-3m. Its volume is 14.75 Å³ per atom. The density of states at the Fermi level is 3.50 states/eV/cell.

a b c (Å): 4.3700 4.3700 4.3700
angles (deg): 60.00 60.00 60.00
With the nearest neighbours (Å) after each atom.
Sites, in units of the cell vectors:
Ni 0.2500 0.2500 0.2500  4 Tl 2.68, 4 W 2.68
Ni 0.7500 0.7500 0.7500  4 Tl 2.68, 4 W 2.68
Tl 0.5000 0.5000 0.5000  8 Ni 2.68
W 0.0000 0.0000 0.0000  8 Ni 2.68

=====

Verdict on stability: 3 comes out on top.